The following is a DFT calculation (PBE) of Hf3AlS after structural relaxation.

Output
uncorrected formation energy: -364 meV per atom
crystal system: monoclinic
relative energy among the computed polymorphs: 0 meV per atom

Cell lengths 12.427, 4.716, 7.378 Å; angles 90.00, 97.73, 90.00 degrees
Space group C2/m (No. 12)
Unique sites:
Hf: 0.045 0.000 0.312 [4 per cell]
Hf: 0.161 0.000 0.977 [4 per cell]
Hf: 0.211 0.500 0.637 [4 per cell]
Al: 0.137 0.500 0.194 [4 per cell]
S: 0.150 0.000 0.626 [4 per cell]